First-principles (PBE) data for BaTbAl4Ir2 after structural relaxation, as listed in OQMD via LeMat-Bulk.

Output
DFT total energy   -37.77 eV per cell

abc: 6.982 11.143 11.143
angles: 15.80 90.00 90.00
Fractional coordinates of all 8 atoms:
1 Al 0.326 0.887 0.887
2 Al 0.674 0.887 0.887
3 Al 0.297 0.172 0.172
4 Al 0.703 0.172 0.172
5 Ba 0.000 0.527 0.527
6 Ir 0.000 0.908 0.908
7 Ir 0.000 0.664 0.664
8 Tb 0.000 0.785 0.785

---

First-principles (PBE) data for Li4Mg2CuNi after structural relaxation, as listed in OQMD via LeMat-Bulk.

Output
DFT total energy   -20.25 eV per cell

abc: 4.370 4.370 6.201
angles: 90.00 90.00 90.00
Fractional coordinates of all 8 atoms:
1 Mg 0.500 0.000 0.240
2 Mg 0.000 0.500 0.760
3 Li 0.000 0.000 0.000
4 Li 0.000 0.500 0.247
5 Li 0.500 0.500 0.500
6 Li 0.500 0.000 0.753
7 Ni 0.500 0.500 0.000
8 Cu 0.000 0.000 0.500

---

Copy entry 1 word for word.
First-principles (PBE) data for BaTbAl4Ir2 after structural relaxation, as listed in OQMD via LeMat-Bulk.

Output
DFT total energy   -37.77 eV per cell

abc: 6.982 11.143 11.143
angles: 15.80 90.00 90.00
Fractional coordinates of all 8 atoms:
1 Al 0.326 0.887 0.887
2 Al 0.674 0.887 0.887
3 Al 0.297 0.172 0.172
4 Al 0.703 0.172 0.172
5 Ba 0.000 0.527 0.527
6 Ir 0.000 0.908 0.908
7 Ir 0.000 0.664 0.664
8 Tb 0.000 0.785 0.785